No. 1
DFT (PBE-GGA) results for an optimized crystal structure of Dy2Er5Pu.

Cell lengths 6.567, 6.576, 11.887 Å; angles 78.02, 77.98, 87.40 degrees
Positions (direct):
Dy (0.000, 0.000, 0.000)
Dy (0.000, 0.000, 0.500)
Dy (0.000, 0.500, 0.000)
Dy (0.500, 0.000, 0.500)
Er (0.230, 0.771, 0.750)
Er (0.238, 0.514, 0.518)
Er (0.249, 0.378, 0.261)
Er (0.376, 0.250, 0.761)
Er (0.487, 0.762, 0.982)
Er (0.513, 0.238, 0.018)
Er (0.624, 0.750, 0.239)
Er (0.751, 0.622, 0.739)
Er (0.762, 0.486, 0.482)
Er (0.770, 0.229, 0.250)
Pu (0.136, 0.866, 0.250)
Pu (0.864, 0.134, 0.750)

Computed properties:
Calculated volume = 491.1 Å³/cell
Electronic total energy = -5.617 eV/atom
Calculated density = 9.50 Mg/m³
Space-group type = P-1, No. 2



No. 2
DFT (PBE-GGA) results for an optimized crystal structure of Dy5Er6Pu.

Cell lengths 9.271, 9.271, 6.078 Å; angles 90.17, 90.17, 44.56 degrees
Positions (direct):
Dy (0.000, 0.000, 0.000)
Dy (0.168, 0.168, 0.665)
Dy (0.334, 0.334, 0.328)
Dy (0.666, 0.666, 0.672)
Dy (0.832, 0.832, 0.335)
Er (0.087, 0.583, 0.835)
Er (0.254, 0.746, 0.500)
Er (0.417, 0.913, 0.165)
Er (0.583, 0.087, 0.835)
Er (0.746, 0.254, 0.500)
Er (0.913, 0.417, 0.165)
Pu (0.500, 0.500, 0.000)

Computed properties:
Calculated volume = 366.6 Å³/cell
Electronic total energy = -5.352 eV/atom
Calculated density = 9.33 Mg/m³
Space-group type = C2/m, No. 12



No. 3
DFT (PBE-GGA) results for an optimized crystal structure of Dy14ErPu.

Cell lengths 11.232, 7.198, 7.198 Å; angles 60.04, 90.00, 90.00 degrees
Positions (direct):
Dy (0.000, 0.000, 0.000)
Dy (0.000, 0.000, 0.500)
Dy (0.000, 0.500, 0.000)
Dy (0.000, 0.500, 0.500)
Dy (0.249, 0.333, 0.333)
Dy (0.252, 0.835, 0.835)
Dy (0.253, 0.330, 0.835)
Dy (0.253, 0.835, 0.330)
Dy (0.500, 0.501, 0.999)
Dy (0.500, 0.999, 0.501)
Dy (0.747, 0.330, 0.835)
Dy (0.747, 0.835, 0.330)
Dy (0.748, 0.835, 0.835)
Dy (0.751, 0.333, 0.333)
Er (0.500, 0.500, 0.500)
Pu (0.500, 0.000, 0.000)

Computed properties:
Calculated volume = 504.2 Å³/cell
Electronic total energy = -5.180 eV/atom
Calculated density = 8.85 Mg/m³
Space-group type = Amm2, No. 38



No. 4
DFT (PBE-GGA) results for an optimized crystal structure of Dy5Er2Pu.

Cell lengths 6.592, 6.594, 11.964 Å; angles 77.86, 77.86, 87.07 degrees
Positions (direct):
Dy (0.013, 0.238, 0.018)
Dy (0.124, 0.751, 0.238)
Dy (0.251, 0.624, 0.739)
Dy (0.262, 0.487, 0.482)
Dy (0.272, 0.228, 0.250)
Dy (0.728, 0.772, 0.750)
Dy (0.738, 0.513, 0.518)
Dy (0.749, 0.376, 0.261)
Dy (0.876, 0.249, 0.762)
Dy (0.987, 0.762, 0.982)
Er (0.000, 0.000, 0.500)
Er (0.500, 0.000, 0.000)
Er (0.500, 0.000, 0.500)
Er (0.500, 0.500, 0.000)
Pu (0.364, 0.135, 0.750)
Pu (0.636, 0.865, 0.250)

Computed properties:
Calculated volume = 497.1 Å³/cell
Electronic total energy = -5.630 eV/atom
Calculated density = 9.29 Mg/m³
Space-group type = P-1, No. 2



No. 5
DFT (PBE-GGA) results for an optimized crystal structure of Dy8Er3Pu2.

Cell lengths 10.655, 10.655, 5.625 Å; angles 90.00, 90.00, 139.40 degrees
Positions (direct):
Dy (0.140, 0.860, 0.000)
Dy (0.171, 0.395, 0.500)
Dy (0.324, 0.676, 0.000)
Dy (0.395, 0.171, 0.500)
Dy (0.605, 0.829, 0.500)
Dy (0.676, 0.324, 0.000)
Dy (0.829, 0.605, 0.500)
Dy (0.860, 0.140, 0.000)
Er (0.000, 0.000, 0.500)
Er (0.275, 0.275, 0.000)
Er (0.725, 0.725, 0.000)
Pu (0.242, 0.758, 0.500)
Pu (0.758, 0.242, 0.500)

Computed properties:
Calculated volume = 415.6 Å³/cell
Electronic total energy = -5.803 eV/atom
Calculated density = 9.15 Mg/m³
Space-group type = Cmmm, No. 65



No. 6
DFT (PBE-GGA) results for an optimized crystal structure of Dy2Er3Pu.

Cell lengths 8.707, 8.707, 8.707 Å; angles 141.22, 78.54, 114.78 degrees
Positions (direct):
Dy (0.147, 0.028, 0.118)
Dy (0.410, 0.028, 0.382)
Dy (0.590, 0.972, 0.618)
Dy (0.853, 0.972, 0.882)
Er (0.146, 0.667, 0.479)
Er (0.312, 0.333, 0.979)
Er (0.385, 0.635, 0.750)
Er (0.615, 0.365, 0.250)
Er (0.688, 0.667, 0.021)
Er (0.854, 0.333, 0.521)
Pu (0.000, 0.000, 0.500)
Pu (0.000, 0.500, 0.000)

Computed properties:
Calculated volume = 365.7 Å³/cell
Electronic total energy = -6.098 eV/atom
Calculated density = 9.73 Mg/m³
Space-group type = Imma, No. 74



No. 7
DFT (PBE-GGA) results for an optimized crystal structure of Dy2Er2Pu.

Cell lengths 8.858, 8.858, 8.858 Å; angles 135.71, 60.44, 141.03 degrees
Positions (direct):
Dy (0.189, 0.156, 0.345)
Dy (0.311, 0.656, 0.966)
Dy (0.689, 0.344, 0.034)
Dy (0.811, 0.844, 0.655)
Er (0.088, 0.631, 0.719)
Er (0.412, 0.131, 0.543)
Er (0.588, 0.869, 0.457)
Er (0.912, 0.369, 0.281)
Pu (0.250, 0.250, 0.000)
Pu (0.750, 0.750, 0.000)

Computed properties:
Calculated volume = 302.0 Å³/cell
Electronic total energy = -6.431 eV/atom
Calculated density = 9.94 Mg/m³
Space-group type = Ibam, No. 72



No. 8
DFT (PBE-GGA) results for an optimized crystal structure of Dy5Er8Pu.

Cell lengths 8.318, 8.318, 8.318 Å; angles 107.43, 107.43, 113.64 degrees
Positions (direct):
Dy (0.000, 0.000, 0.000)
Dy (0.296, 0.537, 0.085)
Dy (0.452, 0.210, 0.915)
Dy (0.463, 0.548, 0.759)
Dy (0.790, 0.704, 0.241)
Er (0.025, 0.397, 0.305)
Er (0.046, 0.139, 0.607)
Er (0.092, 0.720, 0.695)
Er (0.280, 0.975, 0.372)
Er (0.533, 0.440, 0.393)
Er (0.560, 0.954, 0.093)
Er (0.603, 0.908, 0.628)
Er (0.861, 0.467, 0.907)
Pu (0.750, 0.250, 0.500)

Computed properties:
Calculated volume = 441.2 Å³/cell
Electronic total energy = -4.977 eV/atom
Calculated density = 9.01 Mg/m³
Space-group type = I-4, No. 82



No. 9
DFT (PBE-GGA) results for an optimized crystal structure of DyEr6Pu.

Cell lengths 6.937, 6.937, 6.887 Å; angles 104.14, 104.14, 120.40 degrees
Positions (direct):
Dy (0.000, 0.000, 0.000)
Er (0.045, 0.487, 0.253)
Er (0.264, 0.264, 0.740)
Er (0.487, 0.045, 0.253)
Er (0.513, 0.955, 0.747)
Er (0.736, 0.736, 0.260)
Er (0.955, 0.513, 0.747)
Pu (0.500, 0.500, 0.500)

Computed properties:
Excess energy over the best structure of this formula in the dataset = 69 meV per atom
Calculated volume = 248.9 Å³/cell
Electronic total energy = -5.390 eV/atom
Calculated density = 9.41 Mg/m³
Space-group type = C2/m, No. 12



No. 10
DFT (PBE-GGA) results for an optimized crystal structure of Dy12Er7Pu.

Cell lengths 9.754, 9.754, 9.754 Å; angles 109.47, 109.47, 109.47 degrees
Positions (direct):
Dy (0.000, 0.253, 0.747)
Dy (0.000, 0.747, 0.253)
Dy (0.253, 0.000, 0.747)
Dy (0.253, 0.253, 0.505)
Dy (0.253, 0.505, 0.253)
Dy (0.253, 0.747, 0.000)
Dy (0.495, 0.747, 0.747)
Dy (0.505, 0.253, 0.253)
Dy (0.747, 0.000, 0.253)
Dy (0.747, 0.253, 0.000)
Dy (0.747, 0.495, 0.747)
Dy (0.747, 0.747, 0.495)
Er (0.000, 0.000, 0.500)
Er (0.000, 0.500, 0.000)
Er (0.000, 0.500, 0.500)
Er (0.500, 0.000, 0.000)
Er (0.500, 0.000, 0.500)
Er (0.500, 0.500, 0.000)
Er (0.500, 0.500, 0.500)
Pu (0.000, 0.000, 0.000)

Computed properties:
Excess energy over the best structure of this formula in the dataset = 596 meV per atom
Calculated volume = 714.5 Å³/cell
Electronic total energy = -4.318 eV/atom
Calculated density = 7.82 Mg/m³
Space-group type = Im-3m, No. 229



No. 11
DFT (PBE-GGA) results for an optimized crystal structure of DyErPu.

Cell lengths 7.768, 7.768, 7.768 Å; angles 154.10, 154.10, 36.95 degrees
Positions (direct):
Dy (0.000, 0.000, 0.000)
Er (0.329, 0.329, 0.000)
Pu (0.665, 0.665, 0.000)

Computed properties:
Excess energy over the best structure of this formula in the dataset = 0 meV per atom
Calculated volume = 89.3 Å³/cell
Electronic total energy = -7.726 eV/atom
Calculated density = 10.67 Mg/m³
Space-group type = I4mm, No. 107



No. 12
DFT (PBE-GGA) results for an optimized crystal structure of DyEr2Pu.

Cell lengths 12.297, 12.297, 12.297 Å; angles 15.98, 15.98, 15.98 degrees
Positions (direct):
Dy (0.000, 0.000, 0.000)
Er (0.411, 0.411, 0.411)
Er (0.589, 0.589, 0.589)
Pu (0.500, 0.500, 0.500)

Computed properties:
Excess energy over the best structure of this formula in the dataset = 166 meV per atom
Calculated volume = 122.8 Å³/cell
Electronic total energy = -6.755 eV/atom
Calculated density = 10.02 Mg/m³
Space-group type = R-3m, No. 166



no.,size of the total moment (μB/f.u.)
1,6.54
2,6.35
3,5.98
4,6.38
5,14.17
6,5.50
7,5.71
8,5.43
9,7.68
10,6.42
11,6.12
12,6.38